Entry from Alexandria: SiAgPS2 after structural relaxation (PBE-GGA).

Cell lengths 4.557, 4.557, 4.577 Å; angles 90.00, 90.00, 90.00 degrees
Space group P4/mmm (No. 123)
Asymmetric unit:
Si 0.000 0.000 0.000 x1
Ag 0.500 0.500 0.500 x1
P 0.000 0.000 0.500 x1
S 0.000 0.500 0.000 x2

Results
raw formation energy	0.52	eV per atom
polymorph energy (0 for the lowest one)	0.000	eV per atom

---

Entry from Alexandria: Ag2SnPS4 after structural relaxation (PBE-GGA).

Cell lengths 7.540, 7.825, 7.949 Å; angles 114.15, 118.22, 90.13 degrees
Space group P1 (No. 1)
Asymmetric unit:
Ag 0.000 0.000 0.000 x1
Ag 0.012 0.399 0.517 x1
Ag 0.092 0.052 0.677 x1
Ag 0.505 0.999 0.999 x1
Sn 0.061 0.531 0.116 x1
Sn 0.560 0.531 0.116 x1
P 0.502 0.974 0.497 x1
P 0.596 0.549 0.685 x1
S 0.294 0.282 0.086 x1
S 0.306 0.838 0.555 x1
S 0.327 0.837 0.149 x1
S 0.377 0.381 0.695 x1
S 0.755 0.838 0.555 x1
S 0.763 0.767 0.020 x1
S 0.815 0.297 0.127 x1
S 0.823 0.382 0.695 x1

Results
raw formation energy	-0.13	eV per atom

---

Entry from Alexandria: AgSnP2S after structural relaxation (PBE-GGA).

Cell lengths 4.801, 4.801, 5.027 Å; angles 90.00, 90.00, 90.00 degrees
Space group P4/mmm (No. 123)
Asymmetric unit:
Ag 0.000 0.000 0.000 x1
Sn 0.500 0.500 0.500 x1
P 0.000 0.500 0.000 x2
S 0.000 0.000 0.500 x1

Results
raw formation energy	0.85	eV per atom
polymorph energy (0 for the lowest one)	0.000	eV per atom

---

Entry from Alexandria: Ag2SnP2S7 after structural relaxation (PBE-GGA).

Cell lengths 6.4227, 6.4227, 28.6058 Å; angles 90.00, 90.00, 120.00 degrees
Space group R32 (No. 155, hexagonal axes)
Asymmetric unit:
Ag 0.0000 0.0000 0.2436 x6
Sn 0.0000 0.0000 0.5000 x3
P 0.0000 0.0000 0.0762 x6
S 0.0000 0.0000 0.0000 x3
S 0.0018 0.3864 0.7599 x18

Results
raw formation energy	-0.06	eV per atom

---

Entry from Alexandria: SrAgP2S after structural relaxation (PBE-GGA).

Cell lengths 5.574, 5.574, 5.456 Å; angles 90.00, 90.00, 90.00 degrees
Space group P4/mmm (No. 123)
Asymmetric unit:
Sr 0.000 0.000 0.000 x1
Ag 0.500 0.500 0.500 x1
P 0.000 0.500 0.000 x2
S 0.000 0.000 0.500 x1

Results
raw formation energy	1.08	eV per atom
polymorph energy (0 for the lowest one)	0.985	eV per atom

---

Entry from Alexandria: SrAg2PS4 after structural relaxation (PBE-GGA).

Cell lengths 6.705, 7.010, 7.714 Å; angles 90.00, 90.00, 90.00 degrees
Space group I222 (No. 23)
Asymmetric unit:
Sr 0.000 0.000 0.000 x2
Ag 0.000 0.500 0.196 x4
P 0.000 0.000 0.500 x2
S 0.181 0.186 0.334 x8

Results
raw formation energy	-0.52	eV per atom

---

Entry from Alexandria: SrAgP2S after structural relaxation (PBE-GGA).

Cell lengths 4.816, 4.816, 5.150 Å; angles 90.00, 90.00, 90.00 degrees
Space group P4/mmm (No. 123)
Asymmetric unit:
Sr 0.000 0.000 0.000 x1
Ag 0.500 0.500 0.500 x1
P 0.000 0.500 0.500 x2
S 0.500 0.500 0.000 x1

Results
raw formation energy	0.10	eV per atom
polymorph energy (0 for the lowest one)	0.000	eV per atom

---

Entry from Alexandria: SrAg2P2S7 after structural relaxation (PBE-GGA).

Cell lengths 6.5240, 6.5240, 28.8034 Å; angles 90.00, 90.00, 120.00 degrees
Space group R32 (No. 155, hexagonal axes)
Asymmetric unit:
Sr 0.0000 0.0000 0.0000 x3
Ag 0.0000 0.0000 0.2519 x6
P 0.0000 0.0000 0.4254 x6
S 0.0000 0.0000 0.5000 x3
S 0.0154 0.3845 0.2594 x18

Results
raw formation energy	-0.37	eV per atom

---

Entry from Alexandria: SrAgP2S8 after structural relaxation (PBE-GGA).

Cell lengths 5.8107, 5.8107, 26.9663 Å; angles 90.00, 90.00, 120.00 degrees
Space group R-3 (No. 148, hexagonal axes)
Asymmetric unit:
Sr 0.0000 0.0000 0.0000 x3
Ag 0.0000 0.0000 0.5000 x3
P 0.0000 0.0000 0.2521 x6
S 0.0000 0.0000 0.3273 x6
S 0.0151 0.3161 0.8936 x18

Results
raw formation energy	-0.33	eV per atom

---

Entry from Alexandria: AgTeP2S after structural relaxation (PBE-GGA).

Cell lengths 4.830, 4.830, 4.798 Å; angles 90.00, 90.00, 90.00 degrees
Space group P4/mmm (No. 123)
Asymmetric unit:
Ag 0.000 0.000 0.000 x1
Te 0.500 0.500 0.500 x1
P 0.000 0.500 0.000 x2
S 0.000 0.000 0.500 x1

Results
raw formation energy	1.02	eV per atom
polymorph energy (0 for the lowest one)	0.000	eV per atom

---

Entry from Alexandria: AgTePS2 after structural relaxation (PBE-GGA).

Cell lengths 4.824, 4.824, 4.793 Å; angles 90.00, 90.00, 90.00 degrees
Space group P4/mmm (No. 123)
Asymmetric unit:
Ag 0.000 0.000 0.000 x1
Te 0.500 0.500 0.500 x1
P 0.000 0.000 0.500 x1
S 0.000 0.500 0.000 x2

Results
raw formation energy	0.89	eV per atom
polymorph energy (0 for the lowest one)	0.000	eV per atom

---

Entry from Alexandria: TiAgP2S after structural relaxation (PBE-GGA).

Cell lengths 4.713, 4.713, 4.820 Å; angles 90.00, 90.00, 90.00 degrees
Space group P4/mmm (No. 123)
Asymmetric unit:
Ti 0.000 0.000 0.000 x1
Ag 0.500 0.500 0.500 x1
P 0.000 0.500 0.500 x2
S 0.500 0.500 0.000 x1

Results
raw formation energy	0.96	eV per atom
polymorph energy (0 for the lowest one)	0.772	eV per atom